No. 1
Entry from Alexandria via LeMat-Bulk: crystalline NdHo2Bi2 at its relaxed geometry (PBE).

abc: 4.551 4.551 8.275
angles: 106.10 106.10 90.15
Fractional positions:
1 Nd 0.000 0.000 0.000
2 Ho 0.750 0.250 0.500
3 Ho 0.250 0.750 0.500
4 Bi 0.398 0.398 0.791
5 Bi 0.602 0.602 0.209

Output
Raw total energy = -0.1765 hartree per atom
SG = C2/m
DOS(E_F) = 4.60 states/eV/cell
Energy relative to the elements = -0.4647 eV/atom

=====

No. 2
Entry from Alexandria via LeMat-Bulk: crystalline Cd2GaPtPb at its relaxed geometry (PBE).

abc: 5.259 5.259 4.781
angles: 90.00 90.00 90.00
Fractional positions:
1 Pt 0.000 0.000 0.000
2 Ga 0.000 0.000 0.500
3 Cd 0.000 0.500 0.000
4 Cd 0.500 0.000 0.000
5 Pb 0.500 0.500 0.500

Output
Raw total energy = -0.1100 hartree per atom
SG = P4/mmm
DOS(E_F) = 3.24 states/eV/cell
Energy relative to the elements = -0.0732 eV/atom

=====

> Among the records above, which one has the highest DOS(E_F)?

NdHo2Bi2

=====

> Which value of energy relative to the elements does entry 1 give?

-0.4647 eV/atom

=====

> energy relative to the elements of number 2 (Cd2GaPtPb)?

-0.0732 eV/atom